# GGA+U V2CuSbO8, optimized geometry
# - E (eV/atom) = -6.62
data_V2CuSbO8
_chemical_formula_sum 'V2 Cu1 Sb1 O8'
_symmetry_space_group_name_H-M 'P -3 m 1'
_symmetry_Int_Tables_number 164
_symmetry_space_group_name_Hall '-P 3 2"'
_cell_length_a 5.6977
_cell_length_b 5.6977
_cell_length_c 5.8879
_cell_angle_alpha 90.00
_cell_angle_beta 90.00
_cell_angle_gamma 120.00
loop_
_atom_site_label
_atom_site_fract_x
_atom_site_fract_y
_atom_site_fract_z
_atom_site_occupancy
V1 0.3333 0.6667 0.2081 1
Cu1 0.0000 0.0000 0.0000 1
Sb1 0.0000 0.0000 0.5000 1
O1 0.1570 0.3139 0.2882 1
O2 0.3333 0.6667 0.9321 1